Run a
4
Lattice="1.3718 0.7920 8.8959 -1.3718 0.7920 8.8959 0.0000 -1.5841 8.8959" Properties=species:S:1:pos:R:3 comment="PBE ReTcRh2, optimized geometry" spacegroup="R3m, No. 160" pbc="T T T"
Re 0.0000 0.0000 0.0000
Tc 0.0000 0.0000 6.6312
Rh 0.0000 0.0000 13.3649
Rh 0.0000 0.0000 19.9640



Run b
4
Lattice="3.2484 0.0000 0.0000 0.0000 3.2484 0.0000 0.0000 0.0000 5.5715" Properties=species:S:1:pos:R:3 comment="PBE ReTcRh2, optimized geometry" spacegroup="P4mm, No. 99" pbc="T T T"
Re 0.0000 0.0000 0.0000
Tc 1.6242 1.6242 4.1743
Rh 0.0000 0.0000 2.7553
Rh 1.6242 1.6242 1.3823



Run c
4
Lattice="2.7157 0.0000 0.0000 0.0000 4.3736 0.0000 0.0000 0.0000 4.8169" Properties=species:S:1:pos:R:3 comment="PBE ReTcRh2, optimized geometry" spacegroup="Pmm2, No. 25" pbc="T T T"
Re 0.0000 0.0000 0.0000
Tc 0.0000 2.1868 1.5592
Rh 1.3579 0.0000 2.3890
Rh 1.3579 2.1868 3.9739



Run d
4
Lattice="0.0000 3.0846 3.0846 3.0846 0.0000 3.0846 3.0846 3.0846 0.0000" Properties=species:S:1:pos:R:3 comment="PBE ReTcRh2, optimized geometry" spacegroup="F-43m, No. 216" pbc="T T T"
Re 0.0000 0.0000 0.0000
Tc 4.6270 4.6270 4.6270
Rh 1.5423 1.5423 1.5423
Rh 3.0846 3.0846 3.0846



What should be chosen as the most stable of them? Choose run c.



Run a
4
Lattice="1.3689 0.7903 8.8903 -1.3689 0.7903 8.8903 0.0000 -1.5807 8.8903" Properties=species:S:1:pos:R:3 comment="PBE ReTcRh2, optimized geometry" spacegroup="R-3m, No. 166" pbc="T T T"
Re 0.0000 0.0000 0.0000
Tc 0.0000 0.0000 13.3354
Rh 0.0000 0.0000 6.6634
Rh 0.0000 0.0000 20.0074



Run b
4
Lattice="2.6934 0.0000 0.0000 0.0000 2.6934 0.0000 0.0000 0.0000 7.9212" Properties=species:S:1:pos:R:3 comment="PBE ReTcRh2, optimized geometry" spacegroup="P4/mmm, No. 123" pbc="T T T"
Re 0.0000 0.0000 0.0000
Tc 0.0000 0.0000 3.9606
Rh 1.3467 1.3467 1.9773
Rh 1.3467 1.3467 5.9439



What should be chosen as the most stable of them? Choose run b.